No. 1
## Th5AlIn4 (PBE)

Data for a relaxed Th5AlIn4 crystal.

Computed properties:
E (eV per formula unit): -54.605
Density (g/cm3): 9.77
DFT formation energy (meV per atom): -281
Volume (Å³ per atom): 28.0

Cell lengths 3.492, 3.492, 22.946 Å; angles 90.00, 90.00, 90.00 degrees
Fractional coordinates of all 10 atoms:
Th  0.000  0.000  0.000
Th  0.000  0.000  0.203
Th  0.000  0.000  0.409
Th  0.000  0.000  0.591
Th  0.000  0.000  0.797
Al  0.500  0.500  0.500
In  0.500  0.500  0.102
In  0.500  0.500  0.305
In  0.500  0.500  0.695
In  0.500  0.500  0.898

=====

No. 2
## TeAs2Cl (PBE)

Data for a relaxed TeAs2Cl crystal.

Computed properties:
Distance to the lowest polymorph of the same formula (eV/atom): 0.339
E (eV per formula unit): -13.481
Density (g/cm3): 5.25
Formation energy (no corrections) (meV/atom): 202
Volume (Å³ per atom): 24.7

Cell lengths 5.707, 5.707, 3.047 Å; angles 90.07, 90.07, 85.89 degrees
Fractional coordinates of all 4 atoms:
Te  0.000  0.000  0.000
As  0.000  0.500  0.000
As  0.500  0.000  0.000
Cl  0.500  0.500  0.000

=====

No. 3
## SmAgGeAu (PBE)

Data for a relaxed SmAgGeAu crystal.

Computed properties:
E (eV per formula unit): -17.301
Density (g/cm3): 10.44
DFT formation energy (meV per atom): -459
Volume (Å³ per atom): 21.0

Cell lengths 4.915, 4.915, 4.915 Å; angles 60.00, 60.00, 60.00 degrees
Fractional coordinates of all 4 atoms:
Sm  0.000  0.000  0.000
Ag  0.500  0.500  0.500
Ge  0.750  0.750  0.750
Au  0.250  0.250  0.250

=====

No. 4
## K3Co (PBE)

Data for a relaxed K3Co crystal.

Computed properties:
Distance to the lowest polymorph of the same formula (eV/atom): 0.028
E (eV per formula unit): -7.362
Density (g/cm3): 1.61
DFT formation energy (meV per atom): 759
Volume (Å³ per atom): 45.6

Cell lengths 6.180, 8.071, 7.308 Å; angles 90.00, 90.00, 90.00 degrees
Fractional coordinates of all 8 atoms:
K  0.250  0.000  0.163
K  0.250  0.250  0.600
K  0.250  0.500  0.163
K  0.750  0.000  0.837
K  0.750  0.500  0.837
K  0.750  0.750  0.400
Co  0.250  0.750  0.698
Co  0.750  0.250  0.302

=====

No. 5
## Sc2InH (PBE)

Data for a relaxed Sc2InH crystal.

Computed properties:
Distance to the lowest polymorph of the same formula (eV/atom): 0.077
E (eV per formula unit): -20.152
Density (g/cm3): 4.66
Volume (Å³ per atom): 18.3

Cell lengths 5.769, 5.769, 5.769 Å; angles 112.63, 112.63, 103.33 degrees
Fractional coordinates of all 8 atoms:
Sc  0.007  0.625  0.882
Sc  0.375  0.257  0.382
Sc  0.743  0.125  0.118
Sc  0.875  0.993  0.618
In  0.250  0.750  0.500
In  0.500  0.500  0.000
H  0.000  0.000  0.000
H  0.750  0.250  0.500

=====

No. 6
## Zr2CrSe (PBE)

Data for a relaxed Zr2CrSe crystal.

Computed properties:
E (eV per formula unit): -31.313
Density (g/cm3): 7.06
Formation energy (no corrections) (meV/atom): -277
Volume (Å³ per atom): 18.4

Cell lengths 4.798, 4.798, 3.303 Å; angles 90.00, 90.00, 104.18 degrees
Fractional coordinates of all 4 atoms:
Zr  0.000  0.500  0.000
Zr  0.500  0.000  0.000
Cr  0.000  0.000  0.500
Se  0.500  0.500  0.500

=====

What did the fifth record say?
## Sc2InH (PBE)

Data for a relaxed Sc2InH crystal.

Computed properties:
Distance to the lowest polymorph of the same formula (eV/atom): 0.077
E (eV per formula unit): -20.152
Density (g/cm3): 4.66
Volume (Å³ per atom): 18.3

Cell lengths 5.769, 5.769, 5.769 Å; angles 112.63, 112.63, 103.33 degrees
Fractional coordinates of all 8 atoms:
Sc  0.007  0.625  0.882
Sc  0.375  0.257  0.382
Sc  0.743  0.125  0.118
Sc  0.875  0.993  0.618
In  0.250  0.750  0.500
In  0.500  0.500  0.000
H  0.000  0.000  0.000
H  0.750  0.250  0.500